Compound: Li4MgPt
Source: Alexandria
Functional: PBE-GGA
Structure: relaxed

Unit cell a=7.597 b=7.597 c=7.597 alpha=97.04 beta=97.04 gamma=139.01
Atoms (fractional coordinates):
Li (0.247, 0.002, 0.755)
Mg (0.721, 0.721, 0.000)
Li (0.242, 0.497, 0.745)
Pt (0.978, 0.478, 0.500)
Mg (0.471, 0.971, 0.500)
Li (0.801, 0.028, 0.772)
Li (0.256, 0.028, 0.228)
Li (0.778, 0.051, 0.272)
Li (0.247, 0.492, 0.245)
Li (0.778, 0.506, 0.728)
Li (0.752, 0.497, 0.255)
Pt (0.228, 0.228, 0.000)

Results
- Formation enthalpy at 0 K: -83 meV per atom
- Theoretical density: 3047 kg/m³
- Space group: I4_1md
- Density of states at the Fermi level: 0.301 states/eV per atom
- Volume: 269.4 Å³ per cell
- Distance to the lowest polymorph of the same formula: 255 meV/atom

***

Compound: Li2Mg8Pt
Source: Alexandria
Functional: PBE-GGA
Structure: relaxed

Unit cell a=4.771 b=7.378 c=7.465 alpha=117.41 beta=108.63 gamma=90.00
Atoms (fractional coordinates):
Mg (0.048, 0.724, 0.097)
Pt (0.500, 0.000, 0.000)
Li (0.227, 0.642, 0.453)
Mg (0.327, 0.078, 0.654)
Li (0.773, 0.358, 0.547)
Mg (0.952, 0.276, 0.903)
Mg (0.871, 0.827, 0.742)
Mg (0.595, 0.434, 0.190)
Mg (0.405, 0.566, 0.810)
Mg (0.129, 0.173, 0.258)
Mg (0.673, 0.922, 0.346)

Results
- Formation enthalpy at 0 K: -206 meV per atom
- Theoretical density: 3078 kg/m³
- Space group: C2/m
- Density of states at the Fermi level: 0.365 states/eV per atom
- Volume: 217.6 Å³ per cell

***

Compound: LiMgPt2
Source: Alexandria
Functional: PBE-GGA
Structure: relaxed

Unit cell a=5.372 b=5.372 c=5.372 alpha=147.99 beta=131.81 gamma=59.03
Atoms (fractional coordinates):
Mg (0.758, 0.258, 0.500)
Li (0.488, 0.488, 0.000)
Pt (0.253, 0.753, 0.500)
Pt (0.001, 0.001, 0.000)

Results
- Formation enthalpy at 0 K: -589 meV per atom
- Theoretical density: 11522 kg/m³
- Space group: Imm2
- Density of states at the Fermi level: 0.244 states/eV per atom
- Volume: 60.7 Å³ per cell

***

Compound: LiMgPt2
Source: Alexandria
Functional: PBE-GGA
Structure: relaxed

Unit cell a=4.622 b=6.363 c=2.872 alpha=63.38 beta=89.87 gamma=123.31
Atoms (fractional coordinates):
Mg (0.500, 0.000, 0.500)
Li (0.500, 0.500, 0.000)
Pt (0.000, 0.500, 0.500)
Pt (0.000, 0.000, 0.000)

Results
- Formation enthalpy at 0 K: -700 meV per atom
- Theoretical density: 11756 kg/m³
- Space group: C2/m
- Density of states at the Fermi level: 0.250 states/eV per atom
- Volume: 59.5 Å³ per cell

***

Compound: LiMgPt2
Source: Alexandria
Functional: PBE-GGA
Structure: relaxed

Unit cell a=4.274 b=2.753 c=5.273 alpha=75.10 beta=90.00 gamma=90.00
Atoms (fractional coordinates):
Pt (0.000, 0.951, 0.973)
Pt (0.500, 0.290, 0.292)
Li (0.000, 0.704, 0.471)
Mg (0.500, 0.555, 0.764)

Results
- Formation enthalpy at 0 K: -588 meV per atom
- Theoretical density: 11671 kg/m³
- Space group: Pm
- Density of states at the Fermi level: 0.222 states/eV per atom
- Volume: 60.0 Å³ per cell

***

Compound: LiMg5Pt6
Source: Alexandria
Functional: PBE-GGA
Structure: relaxed

Unit cell a=4.173 b=7.155 c=7.490 alpha=118.54 beta=106.18 gamma=89.99
Atoms (fractional coordinates):
Pt (0.500, 0.251, 0.000)
Pt (0.166, 0.916, 0.331)
Mg (0.662, 0.162, 0.324)
Pt (0.834, 0.084, 0.669)
Pt (0.166, 0.416, 0.331)
Mg (0.332, 0.332, 0.665)
Mg (0.338, 0.838, 0.676)
Li (0.000, 0.000, 0.000)
Mg (0.668, 0.668, 0.335)
Pt (0.834, 0.584, 0.669)
Pt (0.500, 0.749, 0.000)
Mg (0.000, 0.500, 0.000)

Results
- Formation enthalpy at 0 K: -829 meV per atom
- Theoretical density: 11575 kg/m³
- Space group: Immm
- Density of states at the Fermi level: 0.254 states/eV per atom
- Volume: 186.3 Å³ per cell

***

Compound: Li3MgPt2
Source: Alexandria
Functional: PBE-GGA
Structure: relaxed

Unit cell a=5.063 b=5.063 c=7.840 alpha=101.08 beta=101.08 gamma=113.88
Atoms (fractional coordinates):
Pt (0.252, 0.252, 0.000)
Li (0.159, 0.680, 0.839)
Li (0.680, 0.159, 0.839)
Li (0.841, 0.841, 0.683)
Pt (0.750, 0.250, 0.500)
Li (0.320, 0.841, 0.161)
Li (0.159, 0.159, 0.317)
Mg (0.668, 0.668, 0.335)
Pt (0.250, 0.750, 0.500)
Mg (0.332, 0.332, 0.665)
Pt (0.748, 0.748, 0.000)
Li (0.841, 0.320, 0.161)

Results
- Formation enthalpy at 0 K: -592 meV per atom
- Theoretical density: 8407 kg/m³
- Space group: Fmmm
- Density of states at the Fermi level: 0.241 states/eV per atom
- Volume: 172.0 Å³ per cell

***

Compound: Li2MgPt3
Source: Alexandria
Functional: PBE-GGA
Structure: relaxed

Unit cell a=3.010 b=3.010 c=9.183 alpha=90.00 beta=90.00 gamma=90.00
Atoms (fractional coordinates):
Mg (0.500, 0.500, 0.500)
Pt (0.000, 0.000, 0.317)
Pt (0.000, 0.000, 0.000)
Pt (0.000, 0.000, 0.683)
Li (0.500, 0.500, 0.155)
Li (0.500, 0.500, 0.845)

Results
- Formation enthalpy at 0 K: -639 meV per atom
- Theoretical density: 12441 kg/m³
- Space group: P4/mmm
- Density of states at the Fermi level: 0.309 states/eV per atom
- Volume: 83.2 Å³ per cell

***

Which of these has the highest theoretical density? Li2MgPt3

***

Which value of theoretical density does entry 4 give? 11756 kg/m³

***

What did the first record say?
Compound: Li4MgPt
Source: Alexandria
Functional: PBE-GGA
Structure: relaxed

Unit cell a=7.597 b=7.597 c=7.597 alpha=97.04 beta=97.04 gamma=139.01
Atoms (fractional coordinates):
Li (0.247, 0.002, 0.755)
Mg (0.721, 0.721, 0.000)
Li (0.242, 0.497, 0.745)
Pt (0.978, 0.478, 0.500)
Mg (0.471, 0.971, 0.500)
Li (0.801, 0.028, 0.772)
Li (0.256, 0.028, 0.228)
Li (0.778, 0.051, 0.272)
Li (0.247, 0.492, 0.245)
Li (0.778, 0.506, 0.728)
Li (0.752, 0.497, 0.255)
Pt (0.228, 0.228, 0.000)

Results
- Formation enthalpy at 0 K: -83 meV per atom
- Theoretical density: 3047 kg/m³
- Space group: I4_1md
- Density of states at the Fermi level: 0.301 states/eV per atom
- Volume: 269.4 Å³ per cell
- Distance to the lowest polymorph of the same formula: 255 meV/atom

***

Which of these has the highest formation enthalpy at 0 K? Li4MgPt